Version a
First-principles (PBE) data for crystalline Sr2CdHPd at its relaxed geometry, as listed in Alexandria.

```
5
Lattice="5.156 0.000 0.000 0.000 5.156 0.000 0.000 0.000 4.350" Properties=species:S:1:pos:R:3 pbc="T T T"
Sr 0.000 2.578 0.000
Sr 2.578 0.000 0.000
Cd 0.000 0.000 2.175
H 0.000 0.000 0.000
Pd 2.578 2.578 2.175
```

Computed properties:
Density of states at the Fermi level = 2.19 states/eV/cell
Symmetry = P4/mmm

=====

Version b
First-principles (PBE) data for crystalline Sr2CdHPd at its relaxed geometry, as listed in Alexandria.

```
5
Lattice="5.536 0.000 0.000 0.000 5.536 0.000 0.000 0.000 3.833" Properties=species:S:1:pos:R:3 pbc="T T T"
Sr 0.000 2.768 0.000
Sr 2.768 0.000 0.000
Cd 0.000 0.000 1.917
H 2.768 2.768 0.000
Pd 2.768 2.768 1.917
```

Computed properties:
Density of states at the Fermi level = 2.31 states/eV/cell
Symmetry = P4/mmm

=====

Which of them is the most stable, and which is the least stable? version b and version a, in that order.

=====

Version a
First-principles (PBE) data for crystalline TlCdHPd2 at its relaxed geometry, as listed in Alexandria.

```
5
Lattice="4.219 0.000 0.000 0.000 4.219 0.000 0.000 0.000 4.309" Properties=species:S:1:pos:R:3 pbc="T T T"
Tl 0.000 0.000 0.000
Cd 2.110 2.110 0.000
H 2.110 2.110 2.154
Pd 0.000 2.110 2.154
Pd 2.110 0.000 2.154
```

Computed properties:
Density of states at the Fermi level = 2.14 states/eV/cell
Symmetry = P4/mmm

=====

Version b
First-principles (PBE) data for crystalline TlCdHPd2 at its relaxed geometry, as listed in Alexandria.

```
5
Lattice="4.119 0.000 0.000 0.000 4.119 0.000 0.000 0.000 4.654" Properties=species:S:1:pos:R:3 pbc="T T T"
Tl 0.000 0.000 0.000
Cd 2.059 2.059 0.000
H 0.000 0.000 2.327
Pd 0.000 2.059 2.327
Pd 2.059 0.000 2.327
```

Computed properties:
Density of states at the Fermi level = 1.00 states/eV/cell
Symmetry = P4/mmm

=====

Which of them is the most stable, and which is the least stable? version a and version b, in that order.

=====

Version a
First-principles (PBE) data for crystalline TlCd2HPd at its relaxed geometry, as listed in Alexandria.

```
5
Lattice="5.502 0.000 0.000 0.000 5.502 0.000 0.000 0.000 3.409" Properties=species:S:1:pos:R:3 pbc="T T T"
Tl 0.000 0.000 0.000
Cd 0.000 2.751 1.704
Cd 2.751 0.000 1.704
H 2.751 2.751 0.000
Pd 2.751 2.751 1.704
```

Computed properties:
Density of states at the Fermi level = 2.45 states/eV/cell
Symmetry = P4/mmm

=====

Version b
First-principles (PBE) data for crystalline TlCd2HPd at its relaxed geometry, as listed in Alexandria.

```
5
Lattice="5.249 0.000 0.000 0.000 5.249 0.000 0.000 0.000 3.361" Properties=species:S:1:pos:R:3 pbc="T T T"
Tl 0.000 0.000 0.000
Cd 0.000 2.624 1.680
Cd 2.624 0.000 1.680
H 2.624 2.624 1.680
Pd 2.624 2.624 0.000
```

Computed properties:
Density of states at the Fermi level = 0.85 states/eV/cell
Symmetry = P4/mmm

=====

Which of them is the most stable, and which is the least stable? version b and version a, in that order.

=====

Version a
First-principles (PBE) data for crystalline Y2CdHPd at its relaxed geometry, as listed in Alexandria.

```
5
Lattice="4.832 0.000 0.000 0.000 4.832 0.000 0.000 0.000 4.134" Properties=species:S:1:pos:R:3 pbc="T T T"
Y 0.000 2.416 0.000
Y 2.416 0.000 0.000
Cd 0.000 0.000 2.067
H 0.000 0.000 0.000
Pd 2.416 2.416 2.067
```

Computed properties:
Density of states at the Fermi level = 2.64 states/eV/cell
Symmetry = P4/mmm

=====

Version b
First-principles (PBE) data for crystalline Y2CdHPd at its relaxed geometry, as listed in Alexandria.

```
5
Lattice="5.108 0.000 0.000 0.000 5.108 0.000 0.000 0.000 3.750" Properties=species:S:1:pos:R:3 pbc="T T T"
Y 0.000 2.554 0.000
Y 2.554 0.000 0.000
Cd 0.000 0.000 1.875
H 2.554 2.554 0.000
Pd 2.554 2.554 1.875
```

Computed properties:
Density of states at the Fermi level = 2.11 states/eV/cell
Symmetry = P4/mmm

=====

Which of them is the most stable, and which is the least stable? version b and version a, in that order.